Record 1
First-principles (PBE-GGA) data for an optimized crystal structure of La7Y2Ho, as listed in Alexandria via LeMat-Bulk.

Lattice parameters (Å, degrees): 9.0541 9.0541 11.7077 108.82 108.82 22.99
With the nearest neighbours (Å) after each atom.
Fractional coordinates of all 10 atoms:
La 0.0000 0.0000 0.0000  14 La 3.61-3.97
La 0.2890 0.2890 0.8883  8 La 3.46-3.79, 2 Y 3.71
La 0.4017 0.4017 0.2060  4 La 3.26-3.61, 1 Y 3.47
La 0.4040 0.4040 0.7005  4 La 3.26-3.61, 1 Y 3.38
La 0.5960 0.5960 0.2995  4 La 3.26-3.61, 1 Y 3.38
La 0.5983 0.5983 0.7940  4 La 3.26-3.61, 1 Y 3.47
La 0.7110 0.7110 0.1117  8 La 3.46-3.79, 2 Y 3.71
Y 0.2930 0.2930 0.4037  6 La 3.38-3.76, 4 Y 3.60-3.61
Y 0.7070 0.7070 0.5963  6 La 3.38-3.76, 4 Y 3.60-3.61
Ho 0.0000 0.0000 0.5000  2 Ho 3.61, 8 La 3.77-3.78, 4 Y 3.91

Summary:
Magnetic moment: 0.0 μB per formula unit
Formation energy from the elements: 42 meV per atom
Volume: 353.95 Å³/f.u.
Fermi-level density of states: 14.6 states/eV/f.u.
Energy above the lowest structure with this stoichiometry: 0.0 kJ/mol of atoms
Crystal system: monoclinic


Record 2
First-principles (PBE-GGA) data for an optimized crystal structure of LaYHoZr, as listed in Alexandria via LeMat-Bulk.

Lattice parameters (Å, degrees): 5.5556 5.5556 5.5556 60.00 60.00 60.00
With the nearest neighbours (Å) after each atom.
Fractional coordinates of all 4 atoms:
La 0.0000 0.0000 0.0000  4 Ho 3.40, 4 Y 3.40
Y 0.2500 0.2500 0.2500  4 Zr 3.40, 4 La 3.40
Ho 0.7500 0.7500 0.7500  4 Zr 3.40, 4 La 3.40
Zr 0.5000 0.5000 0.5000  4 Ho 3.40, 4 Y 3.40

Summary:
Magnetic moment: 0.8 μB per formula unit
Formation energy from the elements: 218 meV per atom
Volume: 121.25 Å³/f.u.
Fermi-level density of states: 7.7 states/eV/f.u.
Crystal system: cubic


Record 3
First-principles (PBE-GGA) data for an optimized crystal structure of LaHoZn, as listed in Alexandria via LeMat-Bulk.

Lattice parameters (Å, degrees): 6.7515 6.7515 6.7515 148.47 148.47 45.19
With the nearest neighbours (Å) after each atom.
Fractional coordinates of all 3 atoms:
La 0.0000 0.0000 0.0000  4 Zn 3.29, 1 Ho 3.59, 4 La 3.67
Ho 0.2876 0.2876 0.0000  4 Zn 3.03
Zn 0.6623 0.6623 0.0000  4 Ho 3.03, 4 La 3.29

Summary:
Magnetic moment: 0.2 μB per formula unit
Formation energy from the elements: -198 meV per atom
Volume: 83.90 Å³/f.u.
Fermi-level density of states: 3.8 states/eV/f.u.
Energy above the lowest structure with this stoichiometry: 0.0 kJ/mol of atoms
Crystal system: tetragonal